A geometry-optimized ZrAg2Sb2 structure. Source: the Alexandria database, functional PBE-GGA.

Cell: 7.8794 7.8794 3.6699 Å, 90.00 90.00 90.00°
Closest atoms and distances in Å follow each position.
Atoms (fractional coordinates):
Ag (0.1355, 0.6355, 0.5000)  6 Sb 2.89-3.00, 1 Ag 3.02
Ag (0.3645, 0.1355, 0.5000)  6 Sb 2.89-3.00, 1 Ag 3.02
Ag (0.8645, 0.3645, 0.5000)  6 Sb 2.89-3.00, 1 Ag 3.02
Ag (0.6355, 0.8645, 0.5000)  6 Sb 2.89-3.00, 1 Ag 3.02
Sb (0.6645, 0.1645, 0.0000)  6 Ag 2.89-3.00, 2 Zr 2.94
Sb (0.1645, 0.3355, 0.0000)  6 Ag 2.89-3.00, 2 Zr 2.94
Sb (0.3355, 0.8355, 0.0000)  6 Ag 2.89-3.00, 2 Zr 2.94
Sb (0.8355, 0.6645, 0.0000)  6 Ag 2.89-3.00, 2 Zr 2.94
Zr (0.5000, 0.5000, 0.0000)  4 Sb 2.94
Zr (0.0000, 0.0000, 0.0000)  4 Sb 2.94

Output
**E_tot**: -4.490 eV per atom
**Polymorph energy (0 for the lowest one)**: 0 kJ/mol of formula units
**Size of the total moment**: 0.00 μB per formula unit
**SG**: P4/mbm

=====

A geometry-optimized CdSb2Te2 structure. Source: the Alexandria database, functional PBE-GGA.

Cell: 8.6480 8.6480 4.2214 Å, 90.00 90.00 90.00°
Closest atoms and distances in Å follow each position.
Atoms (fractional coordinates):
Sb (0.8108, 0.6892, 0.0000)  2 Te 2.91, 2 Cd 3.15
Sb (0.6892, 0.1892, 0.0000)  2 Te 2.91, 2 Cd 3.15
Sb (0.3108, 0.8108, 0.0000)  2 Te 2.91, 2 Cd 3.15
Sb (0.1892, 0.3108, 0.0000)  2 Te 2.91, 2 Cd 3.15
Te (0.6475, 0.8525, 0.5000)  2 Sb 2.91
Te (0.3525, 0.1475, 0.5000)  2 Sb 2.91
Te (0.1475, 0.6475, 0.5000)  2 Sb 2.91
Te (0.8525, 0.3525, 0.5000)  2 Sb 2.91
Cd (0.0000, 0.0000, 0.0000)  4 Sb 3.15
Cd (0.5000, 0.5000, 0.0000)  4 Sb 3.15

Output
**E_tot**: -3.024 eV per atom
**Polymorph energy (0 for the lowest one)**: 3 kJ/mol of formula units
**Size of the total moment**: 0.00 μB per formula unit
**SG**: P4/mbm

=====

A geometry-optimized Tm4Cd2Hg structure. Source: the Alexandria database, functional PBE-GGA.

Cell: 5.1529 5.1529 8.8622 Å, 73.10 73.10 60.00°
Closest atoms and distances in Å follow each position.
Atoms (fractional coordinates):
Cd (0.2501, 0.2501, 0.2498)  8 Tm 3.06-3.25
Cd (0.7499, 0.7499, 0.7502)  8 Tm 3.06-3.25
Tm (0.8723, 0.8723, 0.3831)  4 Cd 3.06-3.18, 1 Hg 3.20
Tm (0.1277, 0.1277, 0.6169)  4 Cd 3.06-3.18, 1 Hg 3.20
Tm (0.6202, 0.6202, 0.1395)  4 Cd 3.11-3.25, 3 Hg 3.19
Tm (0.3798, 0.3798, 0.8605)  4 Cd 3.11-3.25, 3 Hg 3.19
Hg (0.0000, 0.0000, 0.0000)  8 Tm 3.19-3.20

Output
**ΔE_f**: -173 meV per atom
**E_tot**: -3.033 eV per atom
**Size of the total moment**: 0.00 μB per formula unit
**SG**: R-3m

=====

A geometry-optimized Mg5Pt3 structure. Source: the Alexandria database, functional PBE-GGA.

Cell: 4.3088 4.3088 7.9061 Å, 105.76 105.76 90.22°
Closest atoms and distances in Å follow each position.
Atoms (fractional coordinates):
Mg (0.0000, 0.0000, 0.0000)  8 Mg 2.91, 4 Pt 3.04-3.05
Mg (0.6346, 0.1343, 0.2688)  6 Pt 2.70-2.91, 2 Mg 2.91
Mg (0.8657, 0.3654, 0.7312)  6 Pt 2.70-2.91, 2 Mg 2.91
Mg (0.3654, 0.8657, 0.7312)  6 Pt 2.70-2.91, 2 Mg 2.91
Mg (0.1343, 0.6346, 0.2688)  6 Pt 2.70-2.91, 2 Mg 2.91
Pt (0.5000, 0.5000, 0.0000)  12 Mg 2.91-3.05
Pt (0.7541, 0.7541, 0.5084)  8 Mg 2.70-2.77
Pt (0.2459, 0.2459, 0.4916)  8 Mg 2.70-2.77

Output
**ΔE_f**: -702 meV per atom
**E_tot**: -3.964 eV per atom
**Polymorph energy (0 for the lowest one)**: 26 kJ/mol of formula units
**Size of the total moment**: 0.00 μB per formula unit
**SG**: Fmmm